Entry 1:
First-principles (PBE) data for a geometry-optimized YCuRe structure, as listed in the Alexandria database.

Symmetry: P3m1 (156)
Mass density, g/cm³: 10.68
Electronic total energy, eV/cell: -21.07
E_form, eV/atom: 0.65
Relative energy among the computed polymorphs, meV per atom: 318

The structure in POSCAR format:
```
YCuRe
1.0
2.873 0.000 0.000
-1.436 2.488 0.000
0.000 0.000 7.370
Y Cu Re
1 1 1
Direct
0.000 0.000 0.000 Y
0.667 0.333 0.353 Cu
0.333 0.667 0.639 Re
```

***

Entry 2:
First-principles (PBE) data for a geometry-optimized Zn2PdF6 structure, as listed in the Alexandria database.

Symmetry: P-31m (162)
Mass density, g/cm³: 5.04
Electronic total energy, eV/cell: -35.92
ΔE_f (raw), eV/atom: -1.88

The structure in POSCAR format:
```
Zn2PdF6
1.0
5.355 0.000 0.000
-2.677 4.637 0.000
0.000 0.000 4.664
Zn Pd F
2 1 6
Direct
0.333 0.667 0.000 Zn
0.667 0.333 0.000 Zn
0.000 0.000 0.500 Pd
0.000 0.346 0.234 F
0.000 0.654 0.766 F
0.346 0.000 0.234 F
0.346 0.346 0.766 F
0.654 0.000 0.766 F
0.654 0.654 0.234 F
```

***

Entry 3:
First-principles (PBE) data for a geometry-optimized Cu2NiOs structure, as listed in the Alexandria database.

Symmetry: Cmmm (65)
Mass density, g/cm³: 12.24
Electronic total energy, eV/cell: -47.96
E_form, eV/atom: 0.31
Relative energy among the computed polymorphs, meV per atom: 163

The structure in POSCAR format:
```
Cu2NiOs
1.0
2.670 0.000 0.000
0.000 4.401 0.000
0.000 0.000 8.683
Cu Ni Os
4 2 2
Direct
0.000 0.000 0.238 Cu
0.000 0.000 0.762 Cu
0.500 0.500 0.238 Cu
0.500 0.500 0.762 Cu
0.000 0.500 0.000 Ni
0.500 0.000 0.000 Ni
0.000 0.500 0.500 Os
0.500 0.000 0.500 Os
```

***

Entry 4:
First-principles (PBE) data for a geometry-optimized Mg2ZrFe structure, as listed in the Alexandria database.

Symmetry: R-3m (166)
Mass density, g/cm³: 4.26
Electronic total energy, eV/cell: -57.59
E_form, eV/atom: 0.25

The structure in POSCAR format:
```
Mg2ZrFe
1.0
2.961 0.000 0.000
-1.480 2.564 0.000
0.000 0.000 30.110
Mg Zr Fe
6 3 3
Direct
0.000 0.000 0.240 Mg
0.000 0.000 0.760 Mg
0.333 0.667 0.426 Mg
0.333 0.667 0.907 Mg
0.667 0.333 0.093 Mg
0.667 0.333 0.574 Mg
0.000 0.000 0.000 Zr
0.333 0.667 0.667 Zr
0.667 0.333 0.333 Zr
0.000 0.000 0.500 Fe
0.333 0.667 0.167 Fe
0.667 0.333 0.833 Fe
```

***

Entry 5:
First-principles (PBE) data for a geometry-optimized BaNa2NpO5 structure, as listed in the Alexandria database.

Symmetry: Immm (71)
Mass density, g/cm³: 5.64
Electronic total energy, eV/cell: -64.69
ΔE_f (raw), eV/atom: -2.49

The structure in POSCAR format:
```
BaNa2NpO5
1.0
-2.159 3.003 5.682
2.159 -3.003 5.682
2.159 3.003 -5.682
Ba Na Np O
1 2 1 5
Direct
0.000 0.000 0.000 Ba
0.277 0.777 0.500 Na
0.723 0.223 0.500 Na
0.500 0.500 0.000 Np
0.134 0.376 0.758 O
0.382 0.624 0.758 O
0.500 0.000 0.500 O
0.618 0.376 0.242 O
0.866 0.624 0.242 O
```

***

Entry 6:
First-principles (PBE) data for a geometry-optimized RbBiCl3 structure, as listed in the Alexandria database.

Symmetry: Pm-3m (221)
Mass density, g/cm³: 3.65
Electronic total energy, eV/cell: -16.19
ΔE_f (raw), eV/atom: -1.16
Relative energy among the computed polymorphs, meV per atom: 0

The structure in POSCAR format:
```
RbBiCl3
1.0
5.672 0.000 0.000
0.000 5.672 0.000
0.000 0.000 5.672
Rb Bi Cl
1 1 3
Direct
0.000 0.000 0.000 Rb
0.500 0.500 0.500 Bi
0.000 0.500 0.500 Cl
0.500 0.000 0.500 Cl
0.500 0.500 0.000 Cl
```

***

Entry 7:
First-principles (PBE) data for a geometry-optimized Er8NiBi2 structure, as listed in the Alexandria database.

Symmetry: C2/m (12)
Mass density, g/cm³: 9.63
Electronic total energy, eV/cell: -53.56
E_form, eV/atom: -0.32

The structure in POSCAR format:
```
Er8NiBi2
1.0
9.373 -2.302 0.000
9.373 2.302 0.000
-0.749 0.000 7.248
Er Ni Bi
8 1 2
Direct
0.004 0.004 0.224 Er
0.212 0.212 0.351 Er
0.365 0.365 0.950 Er
0.406 0.406 0.477 Er
0.594 0.594 0.523 Er
0.635 0.635 0.050 Er
0.788 0.788 0.649 Er
0.996 0.996 0.776 Er
0.500 0.500 0.000 Ni
0.183 0.183 0.788 Bi
0.817 0.817 0.212 Bi
```